No. 1
The following is a DFT calculation (PBE) of crystalline PuSnGe2 at its relaxed geometry.

Calculated values
**E_form**: -13.3 kJ/mol of atoms
**Excess energy over the best structure of this formula in the dataset**: 203.3 meV/atom
**Space group**: P4/mmm
**V**: 88.9 Å³/f.u.
**D(E_F)**: 7.64 states/eV/cell

Cell and atoms, written as CIF:
```
data_PuSnGe2
_cell_length_a 3.7561
_cell_length_b 3.7561
_cell_length_c 6.3042
_cell_angle_alpha 90.00
_cell_angle_beta 90.00
_cell_angle_gamma 90.00
_symmetry_space_group_name_H-M 'P 1'
_symmetry_Int_Tables_number 1
_symmetry_space_group_name_Hall 'P 1'
loop_
_atom_site_label
_atom_site_type_symbol
_atom_site_fract_x
_atom_site_fract_y
_atom_site_fract_z
Pu1 Pu 0.5000 0.5000 0.5000
Ge1 Ge 0.0000 0.0000 0.2280
Ge2 Ge 0.0000 0.0000 0.7720
Sn1 Sn 0.5000 0.5000 0.0000
```

No. 2
The following is a DFT calculation (PBE) of crystalline PuSnGe4 at its relaxed geometry.

Calculated values
**E_form**: -6.0 kJ/mol of atoms
**Space group**: F-43m
**V**: 125.0 Å³/f.u.
**D(E_F)**: 8.43 states/eV/cell

Cell and atoms, written as CIF:
```
data_PuSnGe4
_cell_length_a 5.6117
_cell_length_b 5.6117
_cell_length_c 5.6117
_cell_angle_alpha 60.00
_cell_angle_beta 60.00
_cell_angle_gamma 60.00
_symmetry_space_group_name_H-M 'P 1'
_symmetry_Int_Tables_number 1
_symmetry_space_group_name_Hall 'P 1'
loop_
_atom_site_label
_atom_site_type_symbol
_atom_site_fract_x
_atom_site_fract_y
_atom_site_fract_z
Ge1 Ge 0.6250 0.6250 0.1251
Ge2 Ge 0.1251 0.6250 0.6250
Pu1 Pu 0.2500 0.2500 0.2500
Sn1 Sn 0.0000 0.0000 0.0000
Ge3 Ge 0.6250 0.1251 0.6250
Ge4 Ge 0.6250 0.6250 0.6250
```

No. 3
The following is a DFT calculation (PBE) of crystalline Pu8SnGe2 at its relaxed geometry.

Calculated values
**E_form**: -14.8 kJ/mol of atoms
**Space group**: C2/m
**V**: 263.1 Å³/f.u.
**D(E_F)**: 48.61 states/eV/cell

Cell and atoms, written as CIF:
```
data_Pu8SnGe2
_cell_length_a 4.4311
_cell_length_b 8.5317
_cell_length_c 8.4088
_cell_angle_alpha 119.72
_cell_angle_beta 105.28
_cell_angle_gamma 90.00
_symmetry_space_group_name_H-M 'P 1'
_symmetry_Int_Tables_number 1
_symmetry_space_group_name_Hall 'P 1'
loop_
_atom_site_label
_atom_site_type_symbol
_atom_site_fract_x
_atom_site_fract_y
_atom_site_fract_z
Ge1 Ge 0.8174 0.3196 0.6348
Pu1 Pu 0.8296 0.8498 0.6592
Pu2 Pu 0.1704 0.1502 0.3408
Pu3 Pu 0.6611 0.4292 0.3222
Pu4 Pu 0.3322 0.1002 0.6644
Ge2 Ge 0.1826 0.6804 0.3652
Pu5 Pu 0.9980 0.7058 0.9960
Pu6 Pu 0.0020 0.2942 0.0040
Pu7 Pu 0.3389 0.5708 0.6778
Pu8 Pu 0.6678 0.8998 0.3356
Sn1 Sn 0.5000 0.0000 0.0000
```

No. 4
The following is a DFT calculation (PBE) of crystalline Pu2SnGe at its relaxed geometry.

Calculated values
**E_form**: -37.5 kJ/mol of atoms
**Space group**: P4/mmm
**V**: 95.7 Å³/f.u.
**D(E_F)**: 14.50 states/eV/cell

Cell and atoms, written as CIF:
```
data_Pu2SnGe
_cell_length_a 3.9740
_cell_length_b 3.9740
_cell_length_c 6.0581
_cell_angle_alpha 90.00
_cell_angle_beta 90.00
_cell_angle_gamma 90.00
_symmetry_space_group_name_H-M 'P 1'
_symmetry_Int_Tables_number 1
_symmetry_space_group_name_Hall 'P 1'
loop_
_atom_site_label
_atom_site_type_symbol
_atom_site_fract_x
_atom_site_fract_y
_atom_site_fract_z
Ge1 Ge 0.5000 0.5000 0.0000
Pu1 Pu 0.0000 0.0000 0.2325
Sn1 Sn 0.5000 0.5000 0.5000
Pu2 Pu 0.0000 0.0000 0.7675
```

No. 5
The following is a DFT calculation (PBE) of crystalline PuSn2Ge at its relaxed geometry.

Calculated values
**E_form**: -31.8 kJ/mol of atoms
**Excess energy over the best structure of this formula in the dataset**: 0.0 meV/atom
**Space group**: P4/mmm
**V**: 94.0 Å³/f.u.
**D(E_F)**: 9.11 states/eV/cell

Cell and atoms, written as CIF:
```
data_PuSn2Ge
_cell_length_a 4.7050
_cell_length_b 4.4701
_cell_length_c 4.4701
_cell_angle_alpha 90.00
_cell_angle_beta 90.00
_cell_angle_gamma 90.00
_symmetry_space_group_name_H-M 'P 1'
_symmetry_Int_Tables_number 1
_symmetry_space_group_name_Hall 'P 1'
loop_
_atom_site_label
_atom_site_type_symbol
_atom_site_fract_x
_atom_site_fract_y
_atom_site_fract_z
Pu1 Pu 0.5000 0.5000 0.5000
Ge1 Ge 0.5000 0.0000 0.0000
Sn1 Sn 0.0000 0.0000 0.5000
Sn2 Sn 0.0000 0.5000 0.0000
```

No. 6
The following is a DFT calculation (PBE) of crystalline Pu2SnGe at its relaxed geometry.

Calculated values
**E_form**: -14.8 kJ/mol of atoms
**Space group**: R-3m
**V**: 103.3 Å³/f.u.
**D(E_F)**: 15.88 states/eV/cell

Cell and atoms, written as CIF:
```
data_Pu2SnGe
_cell_length_a 3.5038
_cell_length_b 3.5038
_cell_length_c 9.9242
_cell_angle_alpha 79.83
_cell_angle_beta 79.83
_cell_angle_gamma 60.00
_symmetry_space_group_name_H-M 'P 1'
_symmetry_Int_Tables_number 1
_symmetry_space_group_name_Hall 'P 1'
loop_
_atom_site_label
_atom_site_type_symbol
_atom_site_fract_x
_atom_site_fract_y
_atom_site_fract_z
Ge1 Ge 0.0000 0.0000 0.0000
Pu1 Pu 0.7417 0.7417 0.7749
Pu2 Pu 0.2583 0.2583 0.2251
Sn1 Sn 0.5000 0.5000 0.5000
```

No. 7
The following is a DFT calculation (PBE) of crystalline PuZnSnGe at its relaxed geometry.

Calculated values
**E_form**: -29.4 kJ/mol of atoms
**Space group**: Pmmm
**V**: 84.9 Å³/f.u.
**D(E_F)**: 9.36 states/eV/cell

Cell and atoms, written as CIF:
```
data_PuZnSnGe
_cell_length_a 4.2765
_cell_length_b 4.2726
_cell_length_c 4.6445
_cell_angle_alpha 90.00
_cell_angle_beta 90.00
_cell_angle_gamma 90.00
_symmetry_space_group_name_H-M 'P 1'
_symmetry_Int_Tables_number 1
_symmetry_space_group_name_Hall 'P 1'
loop_
_atom_site_label
_atom_site_type_symbol
_atom_site_fract_x
_atom_site_fract_y
_atom_site_fract_z
Zn1 Zn 0.5000 0.0000 0.5000
Ge1 Ge 0.0000 0.0000 0.0000
Pu1 Pu 0.5000 0.5000 0.0000
Sn1 Sn 0.0000 0.5000 0.5000
```

No. 8
The following is a DFT calculation (PBE) of crystalline SrPu4Ge4 at its relaxed geometry.

Calculated values
**E_form**: -19.8 kJ/mol of atoms
**Space group**: P4_2/n
**V**: 236.4 Å³/f.u.
**D(E_F)**: 56.62 states/eV/cell

Cell and atoms, written as CIF:
```
data_SrPu4Ge4
_cell_length_a 5.5408
_cell_length_b 9.2369
_cell_length_c 9.2369
_cell_angle_alpha 90.00
_cell_angle_beta 90.00
_cell_angle_gamma 90.00
_symmetry_space_group_name_H-M 'P 1'
_symmetry_Int_Tables_number 1
_symmetry_space_group_name_Hall 'P 1'
loop_
_atom_site_label
_atom_site_type_symbol
_atom_site_fract_x
_atom_site_fract_y
_atom_site_fract_z
Ge1 Ge 0.8764 0.3649 0.7387
Ge2 Ge 0.1236 0.7387 0.6351
Ge3 Ge 0.6236 0.1351 0.7613
Ge4 Ge 0.6236 0.8649 0.2387
Pu1 Pu 0.3657 0.4025 0.8612
Pu2 Pu 0.6343 0.1388 0.4025
Pu3 Pu 0.6343 0.8612 0.5975
Pu4 Pu 0.3657 0.5975 0.1388
Ge5 Ge 0.8764 0.6351 0.2613
Sr1 Sr 0.0000 0.0000 0.0000
Ge6 Ge 0.3764 0.2387 0.1351
Pu5 Pu 0.8657 0.3612 0.0975
Pu6 Pu 0.1343 0.9025 0.3612
Pu7 Pu 0.8657 0.6388 0.9025
Sr2 Sr 0.5000 0.5000 0.5000
Ge7 Ge 0.1236 0.2613 0.3649
Ge8 Ge 0.3764 0.7613 0.8649
Pu8 Pu 0.1343 0.0975 0.6388
```